No. 1
Below is ErZrU after structural relaxation, with properties calculated at the PBE level.

a b c (Å): 4.9512 4.9512 4.9512
angles (deg): 60.00 60.00 60.00
Sites, in units of the cell vectors:
1 Er 0.2500 0.2500 0.2500
2 U 0.7500 0.7500 0.7500
3 Zr 0.0000 0.0000 0.0000

Calculated values
Its offset from the most stable computed form is 0 meV per atom. The total magnetic moment comes out at 1.0 μB per cell. As for the energy of formation: 1124 meV/atom. For the total energy, the calculation gives -7.012 eV per atom. The space group is F-43m (216).

=====

No. 2
Below is LiZrGeIr after structural relaxation, with properties calculated at the PBE level.

a b c (Å): 4.4243 4.4243 4.4243
angles (deg): 60.00 60.00 60.00
Sites, in units of the cell vectors:
1 Ge 0.2500 0.2500 0.2500
2 Ir 0.5000 0.5000 0.5000
3 Li 0.7500 0.7500 0.7500
4 Zr 0.0000 0.0000 0.0000

Calculated values
Its offset from the most stable computed form is 320 meV per atom. The total magnetic moment comes out at 0.0 μB per cell. For the total energy, the calculation gives -6.413 eV per atom. The space group is F-43m (216).

=====

No. 3
Below is MgAu after structural relaxation, with properties calculated at the PBE level.

a b c (Å): 5.0325 6.0804 4.7455
angles (deg): 90.00 90.00 90.00
Sites, in units of the cell vectors:
1 Au 0.9960 0.0000 0.0000
2 Au 0.3428 0.0000 0.5000
3 Au 0.8356 0.2614 0.5000
4 Au 0.8356 0.7386 0.5000
5 Mg 0.4967 0.2309 0.0000
6 Mg 0.9835 0.5000 0.0000
7 Mg 0.4967 0.7691 0.0000
8 Mg 0.3464 0.5000 0.5000

Calculated values
For the total energy, the calculation gives -2.767 eV per atom. The space group is Pmm2 (25).

=====

No. 4
Below is NbIBrCl3 after structural relaxation, with properties calculated at the PBE level.

a b c (Å): 6.6970 7.2264 9.8392
angles (deg): 108.64 91.22 112.88
Sites, in units of the cell vectors:
1 Br 0.7709 0.8283 0.0474
2 Br 0.2291 0.1717 0.9526
3 Cl 0.8829 0.3662 0.1495
4 Cl 0.2876 0.0113 0.2425
5 Cl 0.9332 0.1829 0.4179
6 Cl 0.0668 0.8171 0.5821
7 Cl 0.7124 0.9887 0.7575
8 Cl 0.1171 0.6338 0.8505
9 I 0.4496 0.5853 0.3313
10 I 0.5504 0.4147 0.6687
11 Nb 0.0989 0.2154 0.2194
12 Nb 0.9011 0.7846 0.7806

Calculated values
Its offset from the most stable computed form is 2 meV per atom. The total magnetic moment comes out at 0.0 μB per cell. For the total energy, the calculation gives -4.124 eV per atom. The space group is P-1 (2).

=====

No. 5
Below is FeS after structural relaxation, with properties calculated at the PBE level.

a b c (Å): 7.9416 5.6287 6.4858
angles (deg): 90.00 91.42 90.00
Sites, in units of the cell vectors:
1 Fe 0.0615 0.8011 0.0898
2 Fe 0.5615 0.6989 0.0898
3 Fe 0.2107 0.2074 0.1740
4 Fe 0.7107 0.2926 0.1740
5 Fe 0.4226 0.7736 0.4578
6 Fe 0.9226 0.7264 0.4578
7 Fe 0.5774 0.2264 0.5422
8 Fe 0.0774 0.2736 0.5422
9 Fe 0.2893 0.7074 0.8260
10 Fe 0.7893 0.7926 0.8260
11 Fe 0.4385 0.3011 0.9102
12 Fe 0.9385 0.1989 0.9102
13 S 0.3096 0.5677 0.1329
14 S 0.8096 0.9323 0.1329
15 S 0.9756 0.4143 0.2402
16 S 0.4756 0.0857 0.2402
17 S 0.6607 0.5741 0.4073
18 S 0.1607 0.9259 0.4073
19 S 0.3393 0.4259 0.5927
20 S 0.8393 0.0741 0.5927
21 S 0.0244 0.5857 0.7598
22 S 0.5244 0.9143 0.7598
23 S 0.1904 0.0677 0.8671
24 S 0.6904 0.4323 0.8671

Calculated values
The total magnetic moment comes out at 0.0 μB per cell. For the total energy, the calculation gives -6.565 eV per atom. The space group is P2_1/c (14).

=====

No. 6
Below is SmEr3S6 after structural relaxation, with properties calculated at the PBE level.

a b c (Å): 10.9766 3.9442 11.2502
angles (deg): 90.00 108.74 90.00
Sites, in units of the cell vectors:
1 Er 0.1811 0.2500 0.0024
2 Er 0.9374 0.2500 0.3323
3 Er 0.3387 0.7500 0.4142
4 Er 0.6613 0.2500 0.5858
5 Er 0.0626 0.7500 0.6677
6 Er 0.8189 0.7500 0.9976
7 S 0.3839 0.7500 0.0365
8 S 0.9780 0.2500 0.1123
9 S 0.7609 0.7500 0.2262
10 S 0.3054 0.2500 0.2512
11 S 0.5824 0.7500 0.4045
12 S 0.1041 0.7500 0.4393
13 S 0.8959 0.2500 0.5607
14 S 0.4176 0.2500 0.5955
15 S 0.6946 0.7500 0.7488
16 S 0.2391 0.2500 0.7738
17 S 0.0220 0.7500 0.8877
18 S 0.6161 0.2500 0.9635
19 Sm 0.5473 0.2500 0.1935
20 Sm 0.4527 0.7500 0.8065

Calculated values
The total magnetic moment comes out at 0.0 μB per cell. For the total energy, the calculation gives -6.403 eV per atom. The space group is P2_1/m (11).

=====

No. 7
Below is TaTlCuW after structural relaxation, with properties calculated at the PBE level.

a b c (Å): 4.6284 4.6284 4.6284
angles (deg): 60.00 60.00 60.00
Sites, in units of the cell vectors:
1 Cu 0.7500 0.7500 0.7500
2 Ta 0.5000 0.5000 0.5000
3 Tl 0.0000 0.0000 0.0000
4 W 0.2500 0.2500 0.2500

Calculated values
Its offset from the most stable computed form is 0 meV per atom. The total magnetic moment comes out at 0.0 μB per cell. For the total energy, the calculation gives -7.001 eV per atom. The space group is F-43m (216).

=====

No. 8
Below is GdErPt after structural relaxation, with properties calculated at the PBE level.

a b c (Å): 7.1321 4.7553 8.7421
angles (deg): 90.00 90.00 90.00
Sites, in units of the cell vectors:
1 Er 0.8564 0.2500 0.0793
2 Er 0.3564 0.2500 0.4207
3 Er 0.6436 0.7500 0.5793
4 Er 0.1436 0.7500 0.9207
5 Gd 0.5112 0.7500 0.1708
6 Gd 0.0112 0.7500 0.3292
7 Gd 0.9888 0.2500 0.6708
8 Gd 0.4888 0.2500 0.8292
9 Pt 0.2544 0.2500 0.0934
10 Pt 0.7544 0.2500 0.4066
11 Pt 0.2456 0.7500 0.5934
12 Pt 0.7456 0.7500 0.9066

Calculated values
Its offset from the most stable computed form is 0 meV per atom. The total magnetic moment comes out at 0.0 μB per cell. As for the energy of formation: -957 meV/atom. For the total energy, the calculation gives -6.048 eV per atom. The space group is Pnma (62).